No. 1
# Pa6CuTe12

Crystalline Pa6CuTe12 at its relaxed geometry (GGA-PBE, Alexandria via LeMat-Bulk).

```
19
Lattice="-6.752 -0.996 -5.488 -0.322 -7.563 4.404 -3.453 5.487 5.887" Properties=species:S:1:pos:R:3 pbc="T T T"
Pa -6.273 -5.295 2.147
Pa -4.822 -2.197 -1.418
Pa -2.096 -3.287 3.859
Pa -4.253 2.224 2.656
Pa -5.704 -0.874 6.221
Pa -8.430 0.216 0.944
Cu 0.000 0.000 0.000
Te -7.261 -2.786 0.619
Te -5.230 -3.486 4.621
Te -6.892 0.617 3.604
Te -3.266 -0.285 4.184
Te -5.296 0.415 0.182
Te -3.635 -3.688 1.199
Te -1.798 -5.662 5.765
Te -3.687 -0.079 8.381
Te -5.060 -7.611 0.556
Te -8.729 2.591 -0.962
Te -6.839 -2.992 -3.577
Te -5.467 4.539 4.247
```

Results
crystal system: trigonal
energy relative to the elements, uncorrected: -0.650 eV/atom
space-group type: R-3
E_tot: -0.21492 Ha/atom

=====

No. 2
# TbNdSc4

Crystalline TbNdSc4 at its relaxed geometry (GGA-PBE, Alexandria via LeMat-Bulk).

```
6
Lattice="-3.300 -3.652 3.962 2.803 -2.470 5.096 -1.483 2.125 5.763" Properties=species:S:1:pos:R:3 pbc="T T T"
Sc -0.496 -3.561 6.382
Sc -2.639 -1.264 6.715
Sc -1.237 -2.498 9.263
Sc 0.412 -0.673 7.282
Nd -0.495 -0.999 3.705
Tb 0.000 0.000 0.000
```

Results
crystal system: cubic
offset from the most stable computed form: 1.08 eV/f.u.
space-group type: F-43m
E_form: 0.230 eV/atom
E_tot: -0.20423 Ha/atom

=====

No. 3
# Nd3RuPbCl

Crystalline Nd3RuPbCl at its relaxed geometry (GGA-PBE, Alexandria via LeMat-Bulk).

```
12
Lattice="-2.876 -3.973 -0.103 5.915 -4.253 -1.110 -0.426 0.060 9.613" Properties=species:S:1:pos:R:3 pbc="T T T"
Nd 3.319 -4.007 3.489
Nd 3.200 -6.860 0.053
Nd 0.381 -4.836 0.653
Nd -0.706 -4.159 4.911
Nd 2.232 -3.330 7.747
Nd -0.587 -1.306 8.347
Ru 3.188 -3.840 0.722
Ru -0.575 -4.326 7.678
Pb 1.824 -6.021 6.101
Pb 0.790 -2.145 2.299
Cl -0.364 -1.394 5.538
Cl 2.977 -6.772 2.862
```

Results
crystal system: monoclinic
energy relative to the elements, uncorrected: -0.626 eV/atom
space-group type: P2_1/m
E_tot: -0.20144 Ha/atom

=====

No. 4
# BPPbO5

Crystalline BPPbO5 at its relaxed geometry (GGA-PBE, Alexandria via LeMat-Bulk).

```
24
Lattice="6.936 0.000 0.000 0.000 7.015 0.000 0.000 -3.507 6.075" Properties=species:S:1:pos:R:3 pbc="T T T"
B 0.000 6.326 0.000
B 2.312 -3.163 5.478
B 4.624 0.344 0.597
P 3.468 2.804 0.000
P 5.780 -1.402 2.428
P 1.156 2.105 3.647
Pb 0.000 2.727 0.000
Pb 2.312 -1.364 2.362
Pb 4.624 2.144 3.713
O 6.772 -1.069 3.528
O 4.460 0.082 5.236
O 2.148 0.986 3.385
O 1.156 0.150 0.259
O 5.780 -3.358 5.816
O 3.468 6.716 0.000
O 0.268 1.831 4.950
O 4.892 -0.136 2.015
O 2.580 -1.695 5.185
O 2.044 3.372 4.060
O 4.356 1.813 0.890
O 6.668 5.338 1.125
O 0.164 2.439 2.547
O 4.788 4.494 2.690
O 2.476 3.590 0.839
```

Results
crystal system: trigonal
energy relative to the elements, uncorrected: -2.110 eV/atom
space-group type: P3_121
E_tot: -0.26399 Ha/atom

=====

No. 5
# Li2LaPr2Pb2

Crystalline Li2LaPr2Pb2 at its relaxed geometry (GGA-PBE, Alexandria via LeMat-Bulk).

```
7
Lattice="-4.192 -1.509 2.139 0.169 -2.992 3.930 -1.130 6.040 7.754" Properties=species:S:1:pos:R:3 pbc="T T T"
Li -2.635 -1.311 5.331
Li -2.519 2.850 8.494
La 0.000 0.000 0.000
Pr -1.213 3.088 5.511
Pr -3.941 -1.549 8.314
Pb -3.857 1.460 10.600
Pb -1.297 0.080 3.224
```

Results
crystal system: trigonal
space-group type: R-3m
E_form: -0.375 eV/atom
E_tot: -0.14888 Ha/atom

=====

No. 6
# ErTmAlPb

Crystalline ErTmAlPb at its relaxed geometry (GGA-PBE, Alexandria via LeMat-Bulk).

```
4
Lattice="-4.209 3.114 -0.326 -2.748 0.236 -4.463 -4.803 -2.098 -0.237" Properties=species:S:1:pos:R:3 pbc="T T T"
Pb -2.940 0.313 -1.256
Tm -5.880 0.626 -2.513
Al -8.821 0.939 -3.769
Er 0.000 0.000 0.000
```

Results
crystal system: cubic
space-group type: F-43m
E_form: -0.296 eV/atom
E_tot: -0.16233 Ha/atom

=====

No. 7
# TaZn2Mo

Crystalline TaZn2Mo at its relaxed geometry (GGA-PBE, Alexandria via LeMat-Bulk).

```
4
Lattice="-1.472 -1.005 2.898 2.849 -1.640 0.878 1.794 4.425 2.446" Properties=species:S:1:pos:R:3 pbc="T T T"
Mo 1.137 -0.216 2.499
Ta 2.034 1.996 3.722
Zn 0.015 0.036 0.020
Zn 0.882 2.177 1.203
```

Results
crystal system: tetragonal
offset from the most stable computed form: 0.75 eV/f.u.
space-group type: P4/mmm
E_form: 0.199 eV/atom
E_tot: -0.22448 Ha/atom

=====

No. 8
# Rb2YPd2

Crystalline Rb2YPd2 at its relaxed geometry (GGA-PBE, Alexandria via LeMat-Bulk).

```
10
Lattice="-4.990 1.188 -5.213 -5.279 0.038 5.061 0.697 5.925 0.683" Properties=species:S:1:pos:R:3 pbc="T T T"
Y 0.000 0.000 0.000
Y -5.134 0.613 -0.076
Rb -4.029 3.189 2.846
Rb -7.376 3.789 1.057
Rb -5.542 3.962 -2.315
Rb -2.195 3.362 -0.526
Pd -6.442 0.473 2.475
Pd -7.667 1.058 -1.350
Pd -3.826 0.753 -2.626
Pd -2.602 0.168 1.198
```

Results
crystal system: tetragonal
space-group type: P4/mbm
E_form: 0.035 eV/atom
E_tot: -0.13677 Ha/atom

=====

No. 9
# Cd4In3Hg9

Crystalline Cd4In3Hg9 at its relaxed geometry (GGA-PBE, Alexandria via LeMat-Bulk).

```
16
Lattice="-3.431 4.667 -4.234 -0.154 -1.037 -7.098 -9.622 -4.114 -2.817" Properties=species:S:1:pos:R:3 pbc="T T T"
Cd -4.336 1.190 -7.333
Cd -6.311 -2.022 -3.194
Cd -3.839 -0.461 -3.476
Cd -11.477 -1.356 -10.432
In -9.300 -3.911 -2.854
In -8.943 0.244 -10.721
In -7.057 -0.529 -7.023
Hg -0.902 -0.376 -2.657
Hg -2.614 2.282 -2.945
Hg -1.846 0.601 -5.526
Hg -6.681 2.189 -5.659
Hg -6.040 0.438 -9.746
Hg -4.333 -1.612 -6.131
Hg -9.985 -0.399 -7.859
Hg -8.889 -1.587 -4.828
Hg -8.140 -3.292 -7.715
```

Results
crystal system: trigonal
space-group type: R3
E_form: 0.053 eV/atom
E_tot: -0.03157 Ha/atom

=====

No. 10
# PuPaTe4

Crystalline PuPaTe4 at its relaxed geometry (GGA-PBE, Alexandria via LeMat-Bulk).

```
6
Lattice="4.556 0.000 0.000 0.000 7.222 -0.055 0.000 -0.043 7.222" Properties=species:S:1:pos:R:3 pbc="T T T"
Pu 2.278 0.000 0.000
Pa 0.000 3.589 3.583
Te 2.278 2.185 4.990
Te 0.000 5.700 5.690
Te 4.556 1.479 1.477
Te 2.278 4.994 2.177
```

Results
crystal system: orthorhombic
offset from the most stable computed form: 0.44 eV/f.u.
energy relative to the elements, uncorrected: -0.737 eV/atom
space-group type: Cmmm
E_tot: -0.24998 Ha/atom

=====

No. 11
# ZnNi2Ir

Crystalline ZnNi2Ir at its relaxed geometry (GGA-PBE, Alexandria via LeMat-Bulk).

```
4
Lattice="-1.299 -1.865 -1.345 -0.450 -1.909 3.082 -4.488 2.487 0.885" Properties=species:S:1:pos:R:3 pbc="T T T"
Ni -4.467 2.476 0.881
Ni -2.265 1.256 0.447
Zn -1.997 -1.265 1.089
Ir -4.241 -0.022 1.532
```

Results
crystal system: orthorhombic
space-group type: Pmmm
E_form: -0.085 eV/atom
E_tot: -0.20248 Ha/atom

=====

No. 12
# Tb2YZn

Crystalline Tb2YZn at its relaxed geometry (GGA-PBE, Alexandria via LeMat-Bulk).

```
4
Lattice="3.624 0.000 0.000 1.812 3.139 0.000 1.812 1.046 10.242" Properties=species:S:1:pos:R:3 pbc="T T T"
Tb 1.812 1.046 8.025
Tb 1.812 1.046 2.213
Y 3.624 2.092 5.113
Zn 3.624 2.092 0.012
```

Results
crystal system: trigonal
offset from the most stable computed form: 0.43 eV/f.u.
space-group type: R3m
E_form: -0.053 eV/atom
E_tot: -0.15812 Ha/atom